# 1
First-principles (GGA-PBE) data for crystalline Pm2UHg at its relaxed geometry, as listed in the Alexandria database.

Calculated values
**Density of states at the Fermi level**: 1.939 states/eV/atom
**Space group**: No. 166
**Formation energy**: 0.37 eV per atom

Unit cell a=3.273 b=3.273 c=12.077 alpha=82.21 beta=82.21 gamma=60.00
Fractional positions:
1 U 0.000 0.000 0.000
2 Hg 0.500 0.500 0.500
3 Pm 0.091 0.091 0.728
4 Pm 0.909 0.909 0.272

***

# 2
First-principles (GGA-PBE) data for crystalline Ac4BiIrSe2 at its relaxed geometry, as listed in the Alexandria database.

Calculated values
**ΔE_f (raw)**: -1.291 eV/atom
**Density of states at the Fermi level**: 0.714 states/eV/atom
**Space group**: No. 10

Unit cell a=4.510 b=8.051 c=7.951 alpha=108.36 beta=90.00 gamma=90.00
Fractional positions:
1 Ac 0.500 0.277 0.241
2 Ac 0.500 0.723 0.759
3 Ac 0.000 0.275 0.766
4 Ac 0.000 0.725 0.234
5 Bi 0.000 0.000 0.000
6 Ir 0.500 0.500 0.000
7 Se 0.500 0.000 0.500
8 Se 0.000 0.500 0.500

***

# 3
First-principles (GGA-PBE) data for crystalline MoSeBr2 at its relaxed geometry, as listed in the Alexandria database.

Calculated values
**ΔE_f (raw)**: 0.733 eV/atom
**Density of states at the Fermi level**: 0.702 states/eV/atom
**Space group**: No. 47
**Excess energy over the best structure of this formula in the dataset**: 1063.7 meV/atom

Unit cell a=3.613 b=5.943 c=4.440 alpha=90.00 beta=90.00 gamma=90.00
Fractional positions:
1 Br 0.000 0.000 0.000
2 Br 0.500 0.500 0.000
3 Mo 0.500 0.000 0.500
4 Se 0.000 0.500 0.500